First-principles (PBE) data for crystalline Na2TmO2 at its relaxed geometry, as listed in OQMD via LeMat-Bulk.

Properties
crystal system: monoclinic
size of the total moment: 0.01 μB/cell
calculated density: 4.76 g/cm³
uncorrected energy: -5.35 eV per atom

```
data_Na2TmO2
_space_group_name_H-M_alt 'P 1 21/c 1'
_space_group_IT_number 14
_space_group_name_Hall '-P 2ybc'
_cell_length_a 8.713
_cell_length_b 6.364
_cell_length_c 6.252
_cell_angle_alpha 90.00
_cell_angle_beta 96.62
_cell_angle_gamma 90.00
loop_
_atom_site_label
_atom_site_type_symbol
_atom_site_fract_x
_atom_site_fract_y
_atom_site_fract_z
Na1 Na 0.001 0.224 0.403
Na2 Na 0.293 0.112 0.331
Tm1 Tm 0.358 0.598 0.320
O1 O 0.187 0.091 0.667
O2 O 0.454 0.636 0.664
```